Entry from Alexandria via LeMat-Bulk: crystalline TlAsPt at its relaxed geometry (PBE-GGA).

abc: 4.554 4.554 4.554
angles: 60.00 60.00 60.00
Fractional coordinates of all 3 atoms:
1 As 0.500 0.500 0.500
2 Pt 0.750 0.750 0.750
3 Tl 0.000 0.000 0.000

**Formation energy**: -0.5 kcal/mol of atoms

---

Entry from Alexandria via LeMat-Bulk: crystalline TlAs2Pt at its relaxed geometry (PBE-GGA).

abc: 7.228 7.228 7.228
angles: 30.34 30.34 30.34
Fractional coordinates of all 4 atoms:
1 As 0.987 0.987 0.987
2 As 0.246 0.246 0.246
3 Tl 0.755 0.755 0.755
4 Pt 0.512 0.512 0.512

**Energy above the most stable polymorph in this dataset**: 27.5 kJ per mole of atoms
**Formation energy**: 1.3 kcal/mol of atoms

---

Entry from Alexandria via LeMat-Bulk: crystalline TlAs2Pt4 at its relaxed geometry (PBE-GGA).

abc: 3.908 4.059 9.273
angles: 102.64 90.00 90.00
Fractional coordinates of all 7 atoms:
1 Pt 0.000 0.692 0.383
2 Pt 0.500 0.191 0.382
3 Pt 0.000 0.308 0.617
4 Pt 0.500 0.809 0.618
5 Tl 0.000 0.000 0.000
6 As 0.500 0.608 0.217
7 As 0.500 0.392 0.783

**Formation energy**: -4.8 kcal/mol of atoms

---

Entry from Alexandria via LeMat-Bulk: crystalline Tl2As2Pt at its relaxed geometry (PBE-GGA).

abc: 3.636 3.636 9.440
angles: 78.90 78.90 90.00
Fractional coordinates of all 5 atoms:
1 Tl 0.411 0.411 0.178
2 Tl 0.589 0.589 0.822
3 As 0.750 0.250 0.500
4 As 0.250 0.750 0.500
5 Pt 0.000 0.000 0.000

**Energy above the most stable polymorph in this dataset**: 35.3 kJ per mole of atoms
**Formation energy**: 4.9 kcal/mol of atoms

---

Entry from Alexandria via LeMat-Bulk: crystalline TlAsPt3 at its relaxed geometry (PBE-GGA).

abc: 4.761 4.761 4.761
angles: 90.00 90.00 90.00
Fractional coordinates of all 5 atoms:
1 Pt 0.500 0.000 0.000
2 Pt 0.000 0.000 0.500
3 Pt 0.000 0.500 0.000
4 As 0.000 0.000 0.000
5 Tl 0.500 0.500 0.500

**Energy above the most stable polymorph in this dataset**: 35.4 kJ per mole of atoms
**Formation energy**: 7.3 kcal/mol of atoms

---

Entry from Alexandria via LeMat-Bulk: crystalline TlAsPt2 at its relaxed geometry (PBE-GGA).

abc: 5.323 5.323 5.323
angles: 135.52 135.52 64.72
Fractional coordinates of all 4 atoms:
1 Pt 0.250 0.750 0.500
2 Pt 0.000 0.000 0.000
3 Tl 0.500 0.500 0.000
4 As 0.750 0.250 0.500

**Formation energy**: 2.8 kcal/mol of atoms

---

Entry from Alexandria via LeMat-Bulk: crystalline Tl2As2Pt at its relaxed geometry (PBE-GGA).

abc: 7.470 7.470 5.006
angles: 90.00 90.00 90.00
Fractional coordinates of all 10 atoms:
1 Tl 0.698 0.198 0.000
2 Tl 0.198 0.302 0.000
3 Tl 0.302 0.802 0.000
4 Tl 0.802 0.698 0.000
5 As 0.893 0.393 0.500
6 As 0.607 0.893 0.500
7 As 0.107 0.607 0.500
8 As 0.393 0.107 0.500
9 Pt 0.500 0.500 0.000
10 Pt 0.000 0.000 0.000

**Energy above the most stable polymorph in this dataset**: 45.7 kJ per mole of atoms
**Formation energy**: 7.4 kcal/mol of atoms

---

Entry from Alexandria via LeMat-Bulk: crystalline TlAsPt3 at its relaxed geometry (PBE-GGA).

abc: 7.599 5.654 5.654
angles: 120.00 89.98 90.01
Fractional coordinates of all 10 atoms:
1 Pt 0.250 0.826 0.174
2 Pt 0.750 0.174 0.826
3 Pt 0.250 0.349 0.174
4 Pt 0.750 0.651 0.826
5 Pt 0.750 0.174 0.349
6 Pt 0.250 0.826 0.651
7 Tl 0.250 0.334 0.666
8 Tl 0.750 0.666 0.334
9 As 0.000 0.000 0.000
10 As 0.500 0.000 0.000

**Energy above the most stable polymorph in this dataset**: 0.0 kJ per mole of atoms
**Formation energy**: -1.2 kcal/mol of atoms

---

Entry from Alexandria via LeMat-Bulk: crystalline TlAsPt2 at its relaxed geometry (PBE-GGA).

abc: 3.740 3.740 6.973
angles: 74.43 74.43 60.35
Fractional coordinates of all 4 atoms:
1 Tl 0.750 0.750 0.750
2 As 0.250 0.250 0.250
3 Pt 0.984 0.984 0.043
4 Pt 0.516 0.516 0.457

**Formation energy**: -1.2 kcal/mol of atoms

---

Entry from Alexandria via LeMat-Bulk: crystalline TlAs2Pt at its relaxed geometry (PBE-GGA).

abc: 5.067 5.067 5.067
angles: 127.30 127.30 77.77
Fractional coordinates of all 4 atoms:
1 Pt 0.500 0.500 0.000
2 As 0.000 0.000 0.000
3 As 0.250 0.750 0.500
4 Tl 0.750 0.250 0.500

**Energy above the most stable polymorph in this dataset**: 53.0 kJ per mole of atoms
**Formation energy**: 7.4 kcal/mol of atoms

---

Entry from Alexandria via LeMat-Bulk: crystalline TlAs2Pt at its relaxed geometry (PBE-GGA).

abc: 5.765 6.178 2.976
angles: 63.21 88.73 116.33
Fractional coordinates of all 4 atoms:
1 Pt 0.500 0.500 0.000
2 As 0.000 0.500 0.500
3 As 0.000 0.000 0.000
4 Tl 0.500 0.000 0.500

**Energy above the most stable polymorph in this dataset**: 56.1 kJ per mole of atoms
**Formation energy**: 8.1 kcal/mol of atoms

---

Entry from Alexandria via LeMat-Bulk: crystalline TlAs2Pt at its relaxed geometry (PBE-GGA).

abc: 4.749 4.749 3.849
angles: 90.00 90.00 108.99
Fractional coordinates of all 4 atoms:
1 As 0.000 0.000 0.000
2 As 0.500 0.500 0.000
3 Pt 0.500 0.000 0.500
4 Tl 0.000 0.500 0.500

**Energy above the most stable polymorph in this dataset**: 50.8 kJ per mole of atoms
**Formation energy**: 6.9 kcal/mol of atoms